No. 1
# YMg2Pt2

A relaxed YMg2Pt2 crystal (PBE, Alexandria via LeMat-Bulk).

Properties
Crystal system: tetragonal
E above lowest polymorph: 0.000 eV/atom

a b c (Å): 4.003 4.003 6.909
angles (deg): 73.16 73.16 90.00
Sites, in units of the cell vectors:
Y1 0.000 0.000 0.000
Mg1 0.750 0.250 0.500
Mg2 0.250 0.750 0.500
Pt1 0.393 0.393 0.213
Pt2 0.607 0.607 0.787

***

No. 2
# Y7Mg2Pt2

A relaxed Y7Mg2Pt2 crystal (PBE, Alexandria via LeMat-Bulk).

Properties
Crystal system: orthorhombic

a b c (Å): 6.908 7.215 6.908
angles (deg): 90.00 106.64 90.00
Sites, in units of the cell vectors:
Y1 0.000 0.251 0.500
Y2 0.500 0.749 0.000
Y3 0.000 0.749 0.500
Y4 0.500 0.251 0.000
Y5 0.000 0.000 0.000
Y6 0.500 0.755 0.500
Y7 0.500 0.245 0.500
Mg1 0.828 0.500 0.828
Mg2 0.172 0.500 0.172
Pt1 0.714 0.000 0.286
Pt2 0.286 0.000 0.714

***

No. 3
# YMg3Pt

A relaxed YMg3Pt crystal (PBE, Alexandria via LeMat-Bulk).

Properties
Crystal system: monoclinic
E above lowest polymorph: 0.000 eV/atom

a b c (Å): 5.480 5.805 7.758
angles (deg): 90.00 114.61 90.00
Sites, in units of the cell vectors:
Y1 0.729 0.948 0.884
Y2 0.305 0.448 0.677
Mg1 0.889 0.448 0.178
Mg2 0.145 0.948 0.382
Mg3 0.717 0.198 0.486
Mg4 0.717 0.697 0.486
Mg5 0.317 0.698 0.074
Mg6 0.317 0.197 0.074
Pt1 0.874 0.448 0.818
Pt2 0.160 0.948 0.743

***

No. 4
# Y4Mg3Pt

A relaxed Y4Mg3Pt crystal (PBE, Alexandria via LeMat-Bulk).

Properties
Crystal system: tetragonal

a b c (Å): 3.685 3.685 15.114
angles (deg): 90.00 90.00 90.00
Sites, in units of the cell vectors:
Y1 0.000 0.000 0.893
Y2 0.000 0.000 0.107
Y3 0.000 0.000 0.369
Y4 0.000 0.000 0.631
Mg1 0.500 0.500 0.240
Mg2 0.500 0.500 0.500
Mg3 0.500 0.500 0.760
Pt1 0.500 0.500 0.000

***

No. 5
# Y2MgPt9

A relaxed Y2MgPt9 crystal (PBE, Alexandria via LeMat-Bulk).

Properties
Crystal system: tetragonal

a b c (Å): 4.085 4.085 12.156
angles (deg): 90.00 90.00 90.00
Sites, in units of the cell vectors:
Y1 0.000 0.000 0.328
Y2 0.000 0.000 0.672
Mg1 0.000 0.000 0.000
Pt1 0.500 0.500 0.000
Pt2 0.500 0.500 0.329
Pt3 0.500 0.500 0.671
Pt4 0.500 0.000 0.156
Pt5 0.500 0.000 0.500
Pt6 0.500 0.000 0.844
Pt7 0.000 0.500 0.156
Pt8 0.000 0.500 0.500
Pt9 0.000 0.500 0.844

***

No. 6
# YMg2Pt2

A relaxed YMg2Pt2 crystal (PBE, Alexandria via LeMat-Bulk).

Properties
Crystal system: tetragonal
E above lowest polymorph: 0.091 eV/atom

a b c (Å): 7.335 7.335 3.735
angles (deg): 90.00 90.00 90.00
Sites, in units of the cell vectors:
Y1 0.000 0.000 0.000
Y2 0.500 0.500 0.000
Mg1 0.153 0.653 0.500
Mg2 0.653 0.847 0.500
Mg3 0.847 0.347 0.500
Mg4 0.347 0.153 0.500
Pt1 0.364 0.864 0.000
Pt2 0.864 0.636 0.000
Pt3 0.636 0.136 0.000
Pt4 0.136 0.364 0.000

***

No. 7
# Y2Mg2Pt

A relaxed Y2Mg2Pt crystal (PBE, Alexandria via LeMat-Bulk).

Properties
Crystal system: tetragonal

a b c (Å): 6.904 6.904 5.045
angles (deg): 90.00 90.00 90.00
Sites, in units of the cell vectors:
Y1 0.176 0.676 0.500
Y2 0.676 0.824 0.500
Y3 0.824 0.324 0.500
Y4 0.324 0.176 0.500
Mg1 0.356 0.856 0.000
Mg2 0.856 0.644 0.000
Mg3 0.644 0.144 0.000
Mg4 0.144 0.356 0.000
Pt1 0.000 0.000 0.000
Pt2 0.500 0.500 0.000

***

No. 8
# YMg3Pt

A relaxed YMg3Pt crystal (PBE, Alexandria via LeMat-Bulk).

Properties
Crystal system: cubic
E above lowest polymorph: 2.044 eV/atom

a b c (Å): 5.707 5.707 5.707
angles (deg): 90.00 90.00 90.00
Sites, in units of the cell vectors:
Y1 0.000 0.000 0.000
Mg1 0.000 0.500 0.000
Mg2 0.000 0.000 0.500
Mg3 0.500 0.000 0.000
Pt1 0.500 0.500 0.500

***

No. 9
# YMg2Pt

A relaxed YMg2Pt crystal (PBE, Alexandria via LeMat-Bulk).

Properties
Crystal system: cubic

a b c (Å): 4.813 4.813 4.813
angles (deg): 60.00 60.00 60.00
Sites, in units of the cell vectors:
Y1 0.000 0.000 0.000
Mg1 0.250 0.250 0.250
Mg2 0.750 0.750 0.750
Pt1 0.500 0.500 0.500

***

No. 10
# YMg2Pt2

A relaxed YMg2Pt2 crystal (PBE, Alexandria via LeMat-Bulk).

Properties
Crystal system: tetragonal
E above lowest polymorph: 0.095 eV/atom

a b c (Å): 7.890 7.890 2.973
angles (deg): 90.00 90.00 90.00
Sites, in units of the cell vectors:
Y1 0.000 0.000 0.000
Y2 0.500 0.500 0.000
Mg1 0.378 0.878 0.000
Mg2 0.878 0.622 0.000
Mg3 0.622 0.122 0.000
Mg4 0.122 0.378 0.000
Pt1 0.175 0.675 0.500
Pt2 0.675 0.825 0.500
Pt3 0.825 0.325 0.500
Pt4 0.325 0.175 0.500

***

No. 11
# YMg2Pt

A relaxed YMg2Pt crystal (PBE, Alexandria via LeMat-Bulk).

Properties
Crystal system: tetragonal

a b c (Å): 3.456 3.456 7.349
angles (deg): 90.00 90.00 90.00
Sites, in units of the cell vectors:
Mg1 0.000 0.000 0.032
Mg2 0.500 0.500 0.284
Pt1 0.000 0.000 0.478
Y1 0.500 0.500 0.706

***

No. 12
# YMg2Pt

A relaxed YMg2Pt crystal (PBE, Alexandria via LeMat-Bulk).

Properties
Crystal system: orthorhombic

a b c (Å): 5.620 5.620 3.098
angles (deg): 90.00 90.00 118.66
Sites, in units of the cell vectors:
Mg1 0.000 0.000 0.000
Mg2 0.500 0.500 0.000
Pt1 0.500 0.000 0.500
Y1 0.000 0.500 0.500

***

M_tot: 0.00 0.00 0.00 0.00 0.00 0.00 0.15 0.00 0.00 0.05 0.00 0.00 (μB per atom)
Raw total energy: -5.23 -5.88 -4.00 -4.97 -6.60 -5.14 -4.73 -1.96 -4.39 -5.14 -4.50 -4.16 (eV per atom)
DFT formation energy: -0.883 -0.374 -0.546 -0.388 -0.855 -0.792 -0.300 1.498 -0.463 -0.788 -0.579 -0.232 (eV per atom)